[1]
VASP calculation (GGA-PBE) on a relaxed Sm4Sc5Tl crystal.

Cell lengths 7.7701, 7.7701, 7.7701 Å; angles 97.31, 97.31, 138.21 degrees
Atoms (fractional coordinates):
Sm: 0.0000 0.3125 0.3125
Sm: 0.0000 0.6875 0.6875
Sm: 0.3125 0.0000 0.3125
Sm: 0.6875 0.0000 0.6875
Sc: 0.2206 0.2206 0.0000
Sc: 0.3162 0.3162 0.6332
Sc: 0.3162 0.6830 0.0000
Sc: 0.6830 0.3162 0.0000
Sc: 0.6830 0.6830 0.3668
Tl: 0.7339 0.7339 0.0000

Calculated values
E_form = 8 kJ/mol of atoms
Total DFT energy (no corrections) = -5.21 eV per atom


[2]
VASP calculation (GGA-PBE) on a relaxed Cs2Bi2Pt crystal.

Cell lengths 21.2069, 21.2069, 21.2069 Å; angles 166.28, 166.28, 19.45 degrees
Atoms (fractional coordinates):
Cs: 0.0559 0.3059 0.7500
Cs: 0.3059 0.0559 0.2500
Cs: 0.6941 0.9441 0.7500
Cs: 0.9441 0.6941 0.2500
Bi: 0.1481 0.3981 0.7500
Bi: 0.3981 0.1481 0.2500
Bi: 0.6019 0.8519 0.7500
Bi: 0.8519 0.6019 0.2500
Pt: 0.3750 0.6250 0.7500
Pt: 0.6250 0.3750 0.2500

Calculated values
E_form = -20 kJ/mol of atoms
Total DFT energy (no corrections) = -3.31 eV per atom


[3]
VASP calculation (GGA-PBE) on a relaxed BaTaTl3 crystal.

Cell lengths 6.1089, 6.1089, 6.1089 Å; angles 90.00, 90.00, 90.00 degrees
Atoms (fractional coordinates):
Ba: 0.0000 0.0000 0.0000
Ta: 0.5000 0.5000 0.5000
Tl: 0.0000 0.0000 0.5000
Tl: 0.0000 0.5000 0.0000
Tl: 0.5000 0.0000 0.0000

Calculated values
E above lowest polymorph = 1.8301 eV per atom
E_form = 188 kJ/mol of atoms
Total DFT energy (no corrections) = -2.22 eV per atom


[4]
VASP calculation (GGA-PBE) on a relaxed NaPmC3N6 crystal.

Cell lengths 6.1755, 6.1755, 6.1755 Å; angles 107.56, 107.56, 107.56 degrees
Atoms (fractional coordinates):
Na: 0.0000 0.0000 0.0000
Pm: 0.5000 0.5000 0.5000
C: 0.0005 0.5000 0.9995
C: 0.5000 0.9995 0.0005
C: 0.9995 0.0005 0.5000
N: 0.1560 0.1572 0.4749
N: 0.1572 0.4749 0.1560
N: 0.4749 0.1560 0.1572
N: 0.5251 0.8428 0.8440
N: 0.8428 0.8440 0.5251
N: 0.8440 0.5251 0.8428

Calculated values
Total DFT energy (no corrections) = -7.77 eV per atom


[5]
VASP calculation (GGA-PBE) on a relaxed HfPaTiNb crystal.

Cell lengths 4.8806, 4.8806, 4.8806 Å; angles 60.00, 60.00, 60.00 degrees
Atoms (fractional coordinates):
Hf: 0.0000 0.0000 0.0000
Pa: 0.5000 0.5000 0.5000
Ti: 0.2500 0.2500 0.2500
Nb: 0.7500 0.7500 0.7500

Calculated values
E above lowest polymorph = 0.0000 eV per atom
E_form = 4 kJ/mol of atoms
Total DFT energy (no corrections) = -9.31 eV per atom


[6]
VASP calculation (GGA-PBE) on a relaxed YZnCu2 crystal.

Cell lengths 4.5908, 4.5908, 4.5908 Å; angles 122.39, 115.92, 91.56 degrees
Atoms (fractional coordinates):
Y: 0.0000 0.0000 0.0000
Zn: 0.2816 0.7816 0.5000
Cu: 0.5035 0.5035 0.0000
Cu: 0.7198 0.2198 0.5000

Calculated values
E_form = -13 kJ/mol of atoms
Total DFT energy (no corrections) = -4.12 eV per atom


Question: Look up the total DFT energy (no corrections) of the fourth one.
Answer: -7.77 eV per atom


Copy entry 6 word for word.
VASP calculation (GGA-PBE) on a relaxed YZnCu2 crystal.

Cell lengths 4.5908, 4.5908, 4.5908 Å; angles 122.39, 115.92, 91.56 degrees
Atoms (fractional coordinates):
Y: 0.0000 0.0000 0.0000
Zn: 0.2816 0.7816 0.5000
Cu: 0.5035 0.5035 0.0000
Cu: 0.7198 0.2198 0.5000

Calculated values
E_form = -13 kJ/mol of atoms
Total DFT energy (no corrections) = -4.12 eV per atom


Question: What is the total DFT energy (no corrections) in the first record?
Answer: -5.21 eV per atom


Question: Which formula does entry 2 have?
Answer: Cs2Bi2Pt